Compound: MgReAgN2
Source: the Alexandria database
Functional: PBE-GGA
Structure: relaxed

Output
Uncorrected formation energy (eV/f.u.): 12.77
Magnetic moment (μB per formula unit): 0.00

Cell: 4.047 4.667 4.047 Å, 90.00 90.00 90.00°
Positions (direct):
Ag  0.000  0.000  0.000
Mg  0.000  0.500  0.000
N  0.500  0.000  0.000
N  0.000  0.000  0.500
Re  0.500  0.500  0.500


Compound: Cr3BiRu
Source: the Alexandria database
Functional: PBE-GGA
Structure: relaxed

Output
Energy above the most stable polymorph in this dataset (meV per atom): 0
ΔH_f (0 K) (eV/f.u.): 5.127
Magnetic moment (μB per formula unit): 9.90

Cell: 4.744 4.744 4.744 Å, 90.00 90.00 90.00°
Positions (direct):
Ru  0.000  0.000  0.000
Bi  0.500  0.500  0.500
Cr  0.000  0.500  0.000
Cr  0.500  0.000  0.000
Cr  0.000  0.000  0.500


Compound: Ag2BiS2I
Source: the Alexandria database
Functional: PBE-GGA
Structure: relaxed

Output
Uncorrected formation energy (eV/f.u.): -0.82
Magnetic moment (μB per formula unit): 0.00

Cell: 7.207 4.294 11.309 Å, 90.02 90.00 90.00°
Positions (direct):
S  0.984  0.250  0.137
I  0.250  0.749  0.451
Ag  0.250  0.750  0.689
S  0.484  0.750  0.863
Ag  0.750  0.751  0.710
Bi  0.750  0.750  0.049
I  0.750  0.251  0.549
S  0.016  0.750  0.863
Ag  0.250  0.249  0.290
S  0.516  0.250  0.137
Bi  0.250  0.250  0.951
Ag  0.750  0.250  0.311


Compound: Pm3Ho7In2
Source: the Alexandria database
Functional: PBE-GGA
Structure: relaxed

Output
ΔH_f (0 K) (eV/f.u.): -0.661
Magnetic moment (μB per formula unit): 0.00

Cell: 3.602 5.644 18.440 Å, 93.54 90.00 90.00°
Positions (direct):
Pm  0.500  0.500  0.000
In  0.500  0.706  0.291
Ho  0.500  0.741  0.458
Pm  0.000  0.777  0.635
Ho  0.000  0.326  0.851
Ho  0.500  0.259  0.542
Ho  0.500  0.177  0.171
Pm  0.000  0.223  0.365
In  0.500  0.294  0.709
Ho  0.000  0.674  0.149
Ho  0.000  0.000  0.000
Ho  0.500  0.823  0.829


Compound: ScFeHg
Source: the Alexandria database
Functional: PBE-GGA
Structure: relaxed

Output
ΔH_f (0 K) (eV/f.u.): 1.821
Magnetic moment (μB per formula unit): 1.71

Cell: 4.555 4.555 4.555 Å, 60.00 60.00 60.00°
Positions (direct):
Fe  0.000  0.000  0.000
Sc  0.750  0.750  0.750
Hg  0.500  0.500  0.500


Compound: Sm2Cd3Hg3
Source: the Alexandria database
Functional: PBE-GGA
Structure: relaxed

Output
ΔH_f (0 K) (eV/f.u.): -2.990
Magnetic moment (μB per formula unit): 0.00

Cell: 5.150 5.150 8.921 Å, 73.22 73.22 60.00°
Positions (direct):
Sm  0.498  0.498  0.506
Sm  0.002  0.002  0.994
Cd  0.749  0.749  0.752
Hg  0.373  0.373  0.880
Cd  0.624  0.624  0.128
Hg  0.877  0.877  0.370
Hg  0.126  0.126  0.621
Cd  0.251  0.251  0.248


Compound: SrNpPb2O8
Source: the Alexandria database
Functional: PBE-GGA
Structure: relaxed

Output
Uncorrected formation energy (eV/f.u.): -22.07
Magnetic moment (μB per formula unit): 0.52

Cell: 5.272 5.272 6.990 Å, 90.00 90.00 89.28°
Positions (direct):
O  0.183  0.817  0.204
O  0.322  0.321  0.500
O  0.303  0.303  0.000
O  0.678  0.679  0.500
O  0.697  0.697  0.000
O  0.817  0.183  0.204
Np  0.000  0.000  0.000
Sr  0.000  0.000  0.500
Pb  0.500  0.500  0.751
Pb  0.500  0.500  0.249
O  0.817  0.183  0.796
O  0.183  0.817  0.796


Compound: BP2PtO
Source: the Alexandria database
Functional: PBE-GGA
Structure: relaxed

Output
Energy above the most stable polymorph in this dataset (meV per atom): 1272
Uncorrected formation energy (eV/f.u.): 6.54
Magnetic moment (μB per formula unit): 0.72

Cell: 4.794 4.794 3.748 Å, 90.00 90.00 90.00°
Positions (direct):
B  0.500  0.500  0.500
O  0.000  0.000  0.500
P  0.500  0.000  0.000
P  0.000  0.500  0.000
Pt  0.000  0.000  0.000


no.,electronic total energy (eV for the cell shown)
1,-20.8
2,-36.9
3,-40.4
4,-52.4
5,-13.3
6,-16.1
7,-83.8
8,-22.0